RbLiNdBr5 | GGA-PBE | relaxed

abc: 9.581 13.011 10.895
angles: 90.00 113.51 90.00
Space group C2/c (No. 15)
Inequivalent atoms, fractional coordinates:
1 Rb 0.000 0.152 0.250
2 Li 0.000 0.191 0.750
3 Nd 0.000 0.500 0.000
4 Br 0.000 0.419 0.250
5 Br 0.109 0.298 0.611
6 Br 0.188 0.067 0.924

Properties
final energy = -120.58 eV per cell
DOS(E_F) = 0.00 states/eV per atom
spin magnetization = 0.00 μB/f.u.